[1]
TbTaCoRu | Alexandria | PBE | optimized geometry; volume = 17.1 Å³ per atom; calculated density = 12.147 Mg/m³; magnetization = 0.8 μB per cell; calculated formation energy = -0.5 eV/f.u.
1.0
4.589 0.000 0.000
2.294 3.974 0.000
2.294 1.325 3.747
Ru Co Tb Ta
1 1 1 1
Direct
0.750 0.750 0.750
0.250 0.250 0.250
0.000 0.000 0.000
0.500 0.500 0.500

***

[2]
Ta2Ti5Co2Ru | Alexandria | PBE | optimized geometry; volume = 15.6 Å³ per atom; calculated density = 8.734 Mg/m³; magnetization = 0.0 μB per cell; calculated formation energy = -2.6 eV/f.u.
1.0
3.051 0.000 0.000
0.000 10.111 0.000
0.000 0.000 10.111
Ta Ti Co Ru
4 10 4 2
Direct
0.000 0.677 0.177
0.000 0.323 0.823
0.000 0.177 0.323
0.000 0.823 0.677
0.500 0.203 0.058
0.500 0.797 0.942
0.500 0.058 0.797
0.500 0.703 0.442
0.500 0.942 0.203
0.500 0.297 0.558
0.500 0.558 0.703
0.500 0.442 0.297
0.500 0.500 0.000
0.500 0.000 0.500
0.000 0.129 0.629
0.000 0.871 0.371
0.000 0.629 0.871
0.000 0.371 0.129
0.000 0.000 0.000
0.000 0.500 0.500

***

[3]
TaVCoRu2 | Alexandria | PBE | optimized geometry; E above lowest polymorph = 0 meV per atom; volume = 16.1 Å³ per atom; calculated density = 10.156 Mg/m³; magnetization = 0.0 μB per cell; calculated formation energy = 4.8 eV/f.u.
1.0
4.447 0.000 0.000
0.000 4.075 0.000
0.000 0.000 4.447
Ru V Co Ta
2 1 1 1
Direct
0.000 0.000 0.500
0.500 0.000 0.000
0.000 0.500 0.000
0.000 0.000 0.000
0.500 0.500 0.500

***

[4]
TaVCoRu2 | Alexandria | PBE | optimized geometry; E above lowest polymorph = 807 meV per atom; volume = 20.0 Å³ per atom; calculated density = 8.172 Mg/m³; magnetization = 1.8 μB per cell; calculated formation energy = 8.8 eV/f.u.
1.0
-4.460 1.234 -0.530
-0.983 -1.774 4.147
0.905 4.120 1.977
Ru V Co Ta
2 1 1 1
Direct
0.000 0.000 0.500
0.500 0.000 0.000
0.000 0.500 0.000
0.500 0.500 0.500
0.000 0.000 0.000

***

[5]
YTaCo2Ru | Alexandria | PBE | optimized geometry; volume = 19.3 Å³ per atom; calculated density = 8.420 Mg/m³; magnetization = 0.0 μB per cell; calculated formation energy = 2.9 eV/f.u.
1.0
4.514 0.000 0.000
0.000 4.732 0.000
0.000 0.000 4.514
Y Ru Co Ta
1 1 2 1
Direct
0.500 0.500 0.500
0.000 0.500 0.000
0.000 0.000 0.500
0.500 0.000 0.000
0.000 0.000 0.000

***

[6]
YTaCoRu | Alexandria | PBE | optimized geometry; volume = 17.1 Å³ per atom; calculated density = 10.460 Mg/m³; magnetization = 0.9 μB per cell; calculated formation energy = -0.5 eV/f.u.
1.0
-3.850 2.478 0.273
-2.437 0.876 -3.786
-4.073 -2.015 -0.623
Y Ru Co Ta
1 1 1 1
Direct
0.500 0.500 0.500
0.750 0.750 0.750
0.250 0.250 0.250
0.000 0.000 0.000

***

[7]
Tb2CoRu | Alexandria | PBE | optimized geometry; volume = 21.6 Å³ per atom; calculated density = 9.184 Mg/m³; magnetization = 0.8 μB per cell; calculated formation energy = 1.9 eV/f.u.
1.0
-0.461 3.181 0.751
-2.719 0.936 1.620
3.261 0.116 8.766
Ru Tb Co
1 2 1
Direct
0.500 0.500 0.500
0.091 0.091 0.726
0.909 0.909 0.274
0.000 0.000 0.000

***

[8]
Tb8Co2Ru | Alexandria | PBE | optimized geometry; E above lowest polymorph = 51 meV per atom; volume = 25.5 Å³ per atom; calculated density = 8.810 Mg/m³; magnetization = 0.0 μB per cell; calculated formation energy = -1.0 eV/f.u.
1.0
-4.641 1.557 -3.191
5.358 0.317 -5.207
-2.008 -6.930 1.968
Tb Co Ru
8 2 1
Direct
0.596 0.341 0.083
0.596 0.083 0.341
0.185 0.363 0.363
0.000 0.216 0.790
0.000 0.790 0.216
0.815 0.643 0.643
0.405 0.924 0.665
0.405 0.665 0.924
0.500 0.700 0.306
0.500 0.306 0.700
0.996 0.003 0.003

***

[9]
Tb4CoRu | Alexandria | PBE | optimized geometry; volume = 24.4 Å³ per atom; calculated density = 9.041 Mg/m³; magnetization = 0.0 μB per cell; calculated formation energy = -1.4 eV/f.u.
1.0
-5.198 -2.983 -1.375
4.193 -5.751 1.922
-1.489 4.985 5.917
Tb Co Ru
8 2 2
Direct
0.010 0.238 0.875
0.790 0.690 0.642
0.365 0.637 0.875
0.352 0.953 0.642
0.648 0.047 0.358
0.635 0.363 0.125
0.210 0.310 0.358
0.990 0.762 0.125
0.251 0.001 0.002
0.749 0.999 0.998
0.385 0.635 0.270
0.615 0.365 0.730

***

[10]
Tb3CoRu | Alexandria | PBE | optimized geometry; E above lowest polymorph = 125 meV per atom; volume = 24.0 Å³ per atom; calculated density = 8.804 Mg/m³; magnetization = 0.0 μB per cell; calculated formation energy = -0.7 eV/f.u.
1.0
6.426 0.198 0.078
3.386 6.053 0.049
3.344 2.094 6.327
Tb Co Ru
6 2 2
Direct
0.756 0.397 0.753
0.118 0.761 0.724
0.385 0.108 0.783
0.244 0.603 0.247
0.882 0.239 0.276
0.615 0.892 0.217
0.299 0.344 0.031
0.701 0.656 0.969
0.774 0.835 0.532
0.226 0.165 0.468

***

[11]
Tb2CoRu | Alexandria | PBE | optimized geometry; volume = 19.4 Å³ per atom; calculated density = 10.213 Mg/m³; magnetization = 0.4 μB per cell; calculated formation energy = -0.9 eV/f.u.
1.0
-1.421 2.723 1.465
-3.090 -1.308 -0.567
0.215 -3.090 5.953
Ru Tb Co
1 2 1
Direct
0.500 0.500 0.500
0.000 0.000 0.752
0.000 0.000 0.248
0.500 0.500 0.000

***

[12]
TbCoRu | Alexandria | PBE | optimized geometry; E above lowest polymorph = 126 meV per atom; volume = 19.0 Å³ per atom; calculated density = 9.287 Mg/m³; magnetization = 1.6 μB per cell; calculated formation energy = -0.4 eV/f.u.
1.0
4.050 0.000 0.000
0.000 4.032 0.000
0.000 -2.016 3.492
Ru Tb Co
1 1 1
Direct
0.167 0.333 0.667
0.667 0.667 0.333
0.167 0.000 0.000